{"formula": "RbGd2Th", "functional": "PBE-GGA", "state": "relaxed", "formation_energy_ev_per_atom": 0.250, "total_energy_ev_per_cell": -35.55, "dos_at_fermi_per_ev_fu": 4.210, "density_g_cm3": 6.8, "magmom_total_mub_per_cell": 15.0, "lattice_angstrom": [[3.655, 0.000, 0.000], [1.828, 3.165, 0.000], [1.828, 1.055, 13.261]], "species": ["Gd", "Gd", "Rb", "Th"], "frac_coords": [[0.903, 0.903, 0.292], [0.097, 0.097, 0.708], [0.000, 0.000, 0.000], [0.500, 0.500, 0.500]]}